The following is a DFT calculation (PBE) of crystalline TbPmFe at its relaxed geometry.

a b c (Å): 6.970 6.970 7.407
angles (deg): 90.00 90.00 119.97
Element x y z (fractional)
Tb 0.208 0.292 0.250
Tb 0.292 0.208 0.750
Tb 0.708 0.792 0.250
Tb 0.792 0.708 0.750
Pm 0.198 0.802 0.388
Pm 0.302 0.698 0.888
Pm 0.698 0.302 0.112
Pm 0.802 0.198 0.612
Fe 0.091 0.909 0.043
Fe 0.409 0.591 0.543
Fe 0.591 0.409 0.457
Fe 0.909 0.091 0.957

Results
Calculated volume, Å³/atom: 26.0
SG: Cmce, No. 64
DFT total energy, eV/atom: -5.858

---

The following is a DFT calculation (PBE) of crystalline SmEr5Se6 at its relaxed geometry.

a b c (Å): 7.029 7.029 7.050
angles (deg): 99.51 99.51 120.30
Element x y z (fractional)
Sm 0.000 0.000 0.000
Er 0.160 0.840 0.500
Er 0.335 0.665 0.000
Er 0.500 0.500 0.500
Er 0.665 0.335 0.000
Er 0.840 0.160 0.500
Se 0.085 0.427 0.256
Se 0.258 0.258 0.749
Se 0.427 0.085 0.256
Se 0.573 0.915 0.744
Se 0.742 0.742 0.251
Se 0.915 0.573 0.744

Results
Calculated volume, Å³/atom: 23.6
SG: C2/m, No. 12
DFT total energy, eV/atom: -5.752

---

The following is a DFT calculation (PBE) of crystalline Tm2BeGa3Cu12 at its relaxed geometry.

a b c (Å): 11.582 11.582 11.582
angles (deg): 26.64 26.64 26.64
Element x y z (fractional)
Tm 0.143 0.143 0.143
Tm 0.857 0.857 0.857
Be 0.500 0.500 0.500
Ga 0.000 0.500 0.500
Ga 0.500 0.000 0.500
Ga 0.500 0.500 0.000
Cu 0.098 0.098 0.628
Cu 0.098 0.628 0.098
Cu 0.121 0.611 0.611
Cu 0.372 0.902 0.902
Cu 0.389 0.389 0.879
Cu 0.389 0.879 0.389
Cu 0.611 0.121 0.611
Cu 0.611 0.611 0.121
Cu 0.628 0.098 0.098
Cu 0.879 0.389 0.389
Cu 0.902 0.372 0.902
Cu 0.902 0.902 0.372

Results
Calculated volume, Å³/atom: 15.3
SG: R-3m, No. 166
DFT total energy, eV/atom: -3.902

---

The following is a DFT calculation (PBE) of crystalline Ac3La4TcN8 at its relaxed geometry.

a b c (Å): 7.591 7.591 7.255
angles (deg): 118.20 118.20 57.55
Element x y z (fractional)
Ac 0.000 0.000 0.000
Ac 0.000 0.500 0.000
Ac 0.500 0.000 0.000
La 0.000 0.000 0.500
La 0.000 0.500 0.500
La 0.500 0.000 0.500
La 0.500 0.500 0.500
Tc 0.500 0.500 0.000
N 0.208 0.208 0.699
N 0.253 0.253 0.262
N 0.287 0.710 0.782
N 0.290 0.713 0.218
N 0.710 0.287 0.782
N 0.713 0.290 0.218
N 0.747 0.747 0.738
N 0.792 0.792 0.301

Results
Calculated volume, Å³/atom: 18.6
SG: C2/m, No. 12
DFT total energy, eV/atom: -7.710

---

What did the first record say?
The following is a DFT calculation (PBE) of crystalline TbPmFe at its relaxed geometry.

a b c (Å): 6.970 6.970 7.407
angles (deg): 90.00 90.00 119.97
Element x y z (fractional)
Tb 0.208 0.292 0.250
Tb 0.292 0.208 0.750
Tb 0.708 0.792 0.250
Tb 0.792 0.708 0.750
Pm 0.198 0.802 0.388
Pm 0.302 0.698 0.888
Pm 0.698 0.302 0.112
Pm 0.802 0.198 0.612
Fe 0.091 0.909 0.043
Fe 0.409 0.591 0.543
Fe 0.591 0.409 0.457
Fe 0.909 0.091 0.957

Results
Calculated volume, Å³/atom: 26.0
SG: Cmce, No. 64
DFT total energy, eV/atom: -5.858

---

> The lowest calculated volume belongs to which entry?

Tm2BeGa3Cu12

---

> Which value of DFT total energy does entry 1 give?

-5.858 eV/atom